No. 1
# Rb8BiH2, relaxed, DFT PBE
data_Rb8BiH2
_chemical_formula_sum 'Rb8 Bi1 H2'
_symmetry_space_group_name_H-M 'P 4/m m m'
_symmetry_Int_Tables_number 123
_symmetry_space_group_name_Hall '-P 4 2'
_cell_length_a 8.431
_cell_length_b 8.431
_cell_length_c 8.384
_cell_angle_alpha 90.00
_cell_angle_beta 90.00
_cell_angle_gamma 90.00
loop_
_atom_site_label
_atom_site_fract_x
_atom_site_fract_y
_atom_site_fract_z
_atom_site_occupancy
Rb1 0.249 0.249 0.236 1
Bi1 0.000 0.000 0.500 1
H1 0.000 0.500 0.000 1
# * crystal system: tetragonal
# * ρ: 2.49 Mg/m³
# * raw total energy: -1.693 eV/atom

---

No. 2
# LiIn2Os, relaxed, DFT PBE
data_LiIn2Os
_chemical_formula_sum 'Li3 In6 Os3'
_symmetry_space_group_name_H-M 'R -3 m'
_symmetry_Int_Tables_number 166
_symmetry_space_group_name_Hall '-R 3 2"'
_cell_length_a 3.1091
_cell_length_b 3.1091
_cell_length_c 27.1722
_cell_angle_alpha 90.00
_cell_angle_beta 90.00
_cell_angle_gamma 120.00
loop_
_atom_site_label
_atom_site_fract_x
_atom_site_fract_y
_atom_site_fract_z
_atom_site_occupancy
Li1 0.0000 0.0000 0.0000 1
In1 0.0000 0.0000 0.2463 1
Os1 0.0000 0.0000 0.5000 1
# * crystal system: trigonal
# * ΔE_f: 267 meV per atom
# * ρ: 9.35 Mg/m³
# * raw total energy: -4.389 eV/atom

---

No. 3
# BC7, relaxed, DFT PBE
data_BC7
_chemical_formula_sum 'B1 C7'
_symmetry_space_group_name_H-M 'P m m 2'
_symmetry_Int_Tables_number 25
_symmetry_space_group_name_Hall 'P 2 -2'
_cell_length_a 2.519
_cell_length_b 5.123
_cell_length_c 3.681
_cell_angle_alpha 90.00
_cell_angle_beta 90.00
_cell_angle_gamma 90.00
loop_
_atom_site_label
_atom_site_fract_x
_atom_site_fract_y
_atom_site_fract_z
_atom_site_occupancy
B1 0.000 0.000 0.000 1
C1 0.000 0.258 0.242 1
C2 0.000 0.500 0.989 1
C3 0.500 0.000 0.705 1
C4 0.500 0.254 0.486 1
C5 0.500 0.500 0.745 1
# * crystal system: orthorhombic
# * distance to the lowest polymorph of the same formula: 21.7 meV per atom
# * ΔE_f: 229 meV per atom
# * ρ: 3.32 Mg/m³
# * raw total energy: -8.676 eV/atom

---

No. 4
# Pa2BiCl8, relaxed, DFT PBE
data_Pa2BiCl8
_chemical_formula_sum 'Pa4 Bi2 Cl16'
_symmetry_space_group_name_H-M 'C 1 2/m 1'
_symmetry_Int_Tables_number 12
_symmetry_space_group_name_Hall '-C 2y'
_cell_length_a 8.476
_cell_length_b 12.283
_cell_length_c 9.343
_cell_angle_alpha 90.00
_cell_angle_beta 95.51
_cell_angle_gamma 90.00
loop_
_atom_site_label
_atom_site_fract_x
_atom_site_fract_y
_atom_site_fract_z
_atom_site_occupancy
Pa1 0.133 0.000 0.209 1
Bi1 0.000 0.000 0.500 1
Cl1 0.077 0.500 0.710 1
Cl2 0.112 0.204 0.225 1
Cl3 0.177 0.000 0.925 1
# * crystal system: monoclinic
# * ρ: 3.27 Mg/m³
# * raw total energy: -4.924 eV/atom
# * raw formation energy: -1.5021 eV/atom

---

No. 5
# TbDyPdRu, relaxed, DFT PBE
data_TbDyPdRu
_chemical_formula_sum 'Tb4 Dy4 Pd4 Ru4'
_symmetry_space_group_name_H-M 'F -4 3 m'
_symmetry_Int_Tables_number 216
_symmetry_space_group_name_Hall 'F -4 2 3'
_cell_length_a 6.911
_cell_length_b 6.911
_cell_length_c 6.911
_cell_angle_alpha 90.00
_cell_angle_beta 90.00
_cell_angle_gamma 90.00
loop_
_atom_site_label
_atom_site_fract_x
_atom_site_fract_y
_atom_site_fract_z
_atom_site_occupancy
Tb1 0.000 0.000 0.000 1
Dy1 0.000 0.000 0.500 1
Pd1 0.250 0.250 0.250 1
Ru1 0.250 0.250 0.750 1
# * crystal system: cubic
# * distance to the lowest polymorph of the same formula: 33.3 meV per atom
# * ΔE_f: -632 meV per atom
# * ρ: 10.64 Mg/m³
# * raw total energy: -6.557 eV/atom

---

No. 6
# HfPtAu, relaxed, DFT PBE
data_HfPtAu
_chemical_formula_sum 'Hf8 Pt8 Au8'
_symmetry_space_group_name_H-M 'F d d 2'
_symmetry_Int_Tables_number 43
_symmetry_space_group_name_Hall 'F 2 -2d'
_cell_length_a 5.032
_cell_length_b 10.005
_cell_length_c 8.611
_cell_angle_alpha 90.00
_cell_angle_beta 90.00
_cell_angle_gamma 90.00
loop_
_atom_site_label
_atom_site_fract_x
_atom_site_fract_y
_atom_site_fract_z
_atom_site_occupancy
Hf1 0.000 0.000 0.000 1
Pt1 0.000 0.000 0.675 1
Au1 0.000 0.000 0.338 1
# * crystal system: orthorhombic
# * distance to the lowest polymorph of the same formula: 143.3 meV per atom
# * ΔE_f: -778 meV per atom
# * ρ: 17.48 Mg/m³
# * raw total energy: -7.202 eV/atom